Here is crystalline Ta2NiAs at its relaxed geometry from the Alexandria database. Energies are from PBEsol.

Geometry as POSCAR:
```
Ta2NiAs
1.0
2.885 0.000 0.000
0.000 2.885 0.000
0.000 0.000 7.375
Ta Ni As
2 1 1
Direct
0.000 0.000 0.000
0.500 0.500 0.299
0.500 0.500 0.764
0.000 0.000 0.571
```

Values from the calculation:
volume = 61.4 Å³ per cell
DOS(E_F) = 1.0071 states/eV/atom
ΔE_f = -0.042 eV/atom
total DFT energy (no corrections) = -9.1335 eV/atom